# NaV2P2H8O14

A relaxed structure of NaV2P2H8O14 (GGA+U, the Alexandria database).

Values from the calculation:
For the electronic total energy, the calculation gives -6.188 eV/atom. As for the total magnetization: 2.00 μB per cell.

abc: 6.363 6.371 13.298
angles: 81.34 87.56 89.99
Space group P-1 (No. 2)
Symmetry-distinct sites (fractional):
Na (0.071, 0.497, 0.251)
V (0.260, 0.771, 0.452)
V (0.261, 0.257, 0.951)
P (0.248, 0.748, 0.003)
P (0.249, 0.252, 0.502)
H (0.130, 0.947, 0.260)
H (0.134, 0.890, 0.811)
H (0.147, 0.875, 0.692)
H (0.320, 0.287, 0.717)
H (0.333, 0.834, 0.216)
H (0.387, 0.488, 0.764)
H (0.395, 0.230, 0.306)
H (0.398, 0.269, 0.184)
O (0.044, 0.719, 0.072)
O (0.045, 0.211, 0.569)
O (0.051, 0.864, 0.753)
O (0.236, 0.830, 0.276)
O (0.243, 0.956, 0.924)
O (0.244, 0.471, 0.433)
O (0.255, 0.742, 0.576)
O (0.261, 0.203, 0.075)
O (0.274, 0.568, 0.938)
O (0.278, 0.087, 0.428)
O (0.282, 0.366, 0.773)
O (0.419, 0.337, 0.245)
O (0.430, 0.752, 0.077)
O (0.431, 0.237, 0.578)